1.
Below is a relaxed Li2SiPd2 crystal, with properties calculated at the GGA-PBEsol level.

The structure in extended XYZ format:
```
5
Lattice="-3.0539 -0.2356 -0.3615 0.3819 -2.6783 -1.4811 0.8807 -1.9698 7.0005" Properties=species:S:1:pos:R:3 pbc="T T T"
Si 0.0000 0.0000 0.0000
Pd -0.3671 -2.7629 4.9016
Pd -1.4242 -2.1207 0.2563
Li -0.0367 -3.0525 2.2991
Li -1.7546 -1.8312 2.8588
```

Output
- D(E_F) (states/eV/atom) = 0.441
- size of the total moment (μB/cell) = 0.00
- E_tot (eV per atom) = -4.52
- energy above the most stable polymorph in this dataset (meV per atom) = 290
- symmetry = I4/mmm (139)
- formation energy (no corrections) (eV/atom) = -0.20

=====

2.
Below is a relaxed Li2Si2Pd crystal, with properties calculated at the GGA-PBEsol level.

The structure in extended XYZ format:
```
10
Lattice="4.0010 0.0000 0.0000 0.0000 6.1387 0.0000 0.0000 0.0000 6.1387" Properties=species:S:1:pos:R:3 pbc="T T T"
Si 0.0000 2.2535 5.3228
Si 0.0000 5.3228 3.8852
Si 0.0000 3.8852 0.8158
Si 0.0000 0.8158 2.2535
Pd 0.0000 0.0000 0.0000
Pd 0.0000 3.0693 3.0693
Li 2.0005 1.0477 4.1170
Li 2.0005 4.1170 5.0910
Li 2.0005 5.0910 2.0217
Li 2.0005 2.0217 1.0477
```

Output
- D(E_F) (states/eV/atom) = 0.344
- size of the total moment (μB/cell) = 0.00
- E_tot (eV per atom) = -4.70
- symmetry = P4/mbm (127)
- formation energy (no corrections) (eV/atom) = -0.42

=====

3.
Below is a relaxed Li2SiPd2 crystal, with properties calculated at the GGA-PBEsol level.

The structure in extended XYZ format:
```
10
Lattice="4.1443 0.0000 0.0000 0.0000 6.0820 0.0000 0.0000 0.0000 6.0820" Properties=species:S:1:pos:R:3 pbc="T T T"
Si 0.0000 0.0000 0.0000
Si 0.0000 3.0410 3.0410
Pd 0.0000 2.1082 5.1492
Pd 0.0000 5.1492 3.9738
Pd 0.0000 3.9738 0.9328
Pd 0.0000 0.9328 2.1082
Li 2.0721 0.9824 4.0234
Li 2.0721 4.0234 5.0996
Li 2.0721 5.0996 2.0586
Li 2.0721 2.0586 0.9824
```

Output
- D(E_F) (states/eV/atom) = 0.323
- size of the total moment (μB/cell) = 0.00
- E_tot (eV per atom) = -4.81
- energy above the most stable polymorph in this dataset (meV per atom) = 0
- symmetry = P4/mbm (127)
- formation energy (no corrections) (eV/atom) = -0.49

=====

4.
Below is a relaxed Li3SnPd crystal, with properties calculated at the GGA-PBEsol level.

The structure in extended XYZ format:
```
5
Lattice="4.8748 0.0000 0.0000 0.0000 4.8748 0.0000 0.0000 0.0000 4.8748" Properties=species:S:1:pos:R:3 pbc="T T T"
Sn 0.0000 0.0000 0.0000
Pd 2.4374 2.4374 2.4374
Li 0.0000 2.4374 0.0000
Li 0.0000 0.0000 2.4374
Li 2.4374 0.0000 0.0000
```

Output
- D(E_F) (states/eV/atom) = 0.909
- size of the total moment (μB/cell) = 0.33
- E_tot (eV per atom) = -2.74
- symmetry = Pm-3m (221)

=====

5.
Below is a relaxed LiSn6Pd2 crystal, with properties calculated at the GGA-PBEsol level.

The structure in extended XYZ format:
```
18
Lattice="6.6210 0.0000 0.0000 0.0000 6.6210 0.0000 0.0000 0.0000 8.6583" Properties=species:S:1:pos:R:3 pbc="T T T"
Li 0.0000 0.0000 4.3291
Li 3.3105 3.3105 4.3291
Sn 5.5475 2.2370 0.0000
Sn 4.3677 1.0572 2.7749
Sn 2.2533 5.5638 2.7749
Sn 1.0572 2.2533 5.8834
Sn 1.0572 2.2533 2.7749
Sn 2.2533 5.5638 5.8834
Sn 4.3840 5.5475 0.0000
Sn 1.0735 4.3840 0.0000
Sn 2.2370 1.0735 0.0000
Sn 4.3677 1.0572 5.8834
Sn 5.5638 4.3677 2.7749
Sn 5.5638 4.3677 5.8834
Pd 3.3105 3.3105 1.5221
Pd 3.3105 3.3105 7.1362
Pd 0.0000 0.0000 1.5221
Pd 0.0000 0.0000 7.1362
```

Output
- D(E_F) (states/eV/atom) = 0.422
- size of the total moment (μB/cell) = 0.00
- E_tot (eV per atom) = -4.75
- symmetry = P4/mbm (127)

=====

6.
Below is a relaxed SrLiPd3 crystal, with properties calculated at the GGA-PBEsol level.

The structure in extended XYZ format:
```
5
Lattice="-3.0658 -2.9336 -2.9348 -0.5375 -3.3373 3.8976 -4.1146 2.6218 1.6775" Properties=species:S:1:pos:R:3 pbc="T T T"
Sr 0.0000 0.0000 0.0000
Pd -0.2688 -1.6687 1.9488
Pd -2.0573 1.3109 0.8387
Pd -1.5329 -1.4668 -1.4674
Li -3.8590 -1.8246 1.3201
```

Output
- D(E_F) (states/eV/atom) = 0.410
- size of the total moment (μB/cell) = 0.00
- E_tot (eV per atom) = -3.46
- symmetry = Pm-3m (221)

=====

7.
Below is a relaxed Sr2LiTlPd crystal, with properties calculated at the GGA-PBEsol level.

The structure in extended XYZ format:
```
5
Lattice="-0.7195 -3.2189 -3.3255 -3.6019 -2.6763 3.3698 -4.2161 3.0750 -2.0642" Properties=species:S:1:pos:R:3 pbc="T T T"
Sr -2.1080 1.5375 -1.0321
Sr -1.8009 -1.3382 1.6849
Tl -0.3598 -1.6095 -1.6628
Pd -4.2687 -1.4101 -1.0100
Li 0.0000 0.0000 0.0000
```

Output
- D(E_F) (states/eV/atom) = 0.696
- size of the total moment (μB/cell) = 0.00
- E_tot (eV per atom) = -2.67
- symmetry = P4/mmm (123)

=====

8.
Below is a relaxed LiTa3Pd crystal, with properties calculated at the GGA-PBEsol level.

The structure in extended XYZ format:
```
5
Lattice="4.3116 0.0000 0.0000 0.0000 4.3116 0.0000 0.0000 0.0000 4.3116" Properties=species:S:1:pos:R:3 pbc="T T T"
Li 0.0000 0.0000 0.0000
Pd 2.1558 2.1558 2.1558
Ta 0.0000 2.1558 0.0000
Ta 0.0000 0.0000 2.1558
Ta 2.1558 0.0000 0.0000
```

Output
- D(E_F) (states/eV/atom) = 1.169
- size of the total moment (μB/cell) = 0.00
- E_tot (eV per atom) = -8.04
- symmetry = Pm-3m (221)

=====

9.
Below is a relaxed Li3TcPd crystal, with properties calculated at the GGA-PBEsol level.

The structure in extended XYZ format:
```
5
Lattice="4.4186 0.0000 0.0000 0.0000 4.4186 0.0000 0.0000 0.0000 4.4186" Properties=species:S:1:pos:R:3 pbc="T T T"
Tc 2.2093 2.2093 2.2093
Pd 0.0000 0.0000 0.0000
Li 0.0000 2.2093 0.0000
Li 0.0000 0.0000 2.2093
Li 2.2093 0.0000 0.0000
```

Output
- D(E_F) (states/eV/atom) = 0.826
- size of the total moment (μB/cell) = 3.41
- E_tot (eV per atom) = -3.68
- energy above the most stable polymorph in this dataset (meV per atom) = 0
- symmetry = Pm-3m (221)

=====

10.
Below is a relaxed LiTePd3 crystal, with properties calculated at the GGA-PBEsol level.

The structure in extended XYZ format:
```
5
Lattice="-4.3100 -1.1090 -2.0740 -0.7037 -3.5234 3.3464 -2.2442 3.2347 2.9340" Properties=species:S:1:pos:R:3 pbc="T T T"
Te 0.0000 0.0000 0.0000
Pd -0.3518 -1.7617 1.6732
Pd -1.1221 1.6174 1.4670
Pd -2.1550 -0.5545 -1.0370
Li -3.6290 -0.6989 2.1031
```

Output
- D(E_F) (states/eV/atom) = 0.373
- size of the total moment (μB/cell) = 0.00
- E_tot (eV per atom) = -4.52
- symmetry = Pm-3m (221)
- formation energy (no corrections) (eV/atom) = 0.15

=====

11.
Below is a relaxed Li3TePd crystal, with properties calculated at the GGA-PBEsol level.

The structure in extended XYZ format:
```
5
Lattice="5.0021 0.0000 0.0000 0.0000 5.0021 0.0000 0.0000 0.0000 5.0021" Properties=species:S:1:pos:R:3 pbc="T T T"
Te 0.0000 0.0000 0.0000
Pd 2.5011 2.5011 2.5011
Li 0.0000 2.5011 0.0000
Li 0.0000 0.0000 2.5011
Li 2.5011 0.0000 0.0000
```

Output
- D(E_F) (states/eV/atom) = 0.748
- size of the total moment (μB/cell) = 0.00
- E_tot (eV per atom) = -3.09
- symmetry = Pm-3m (221)
- formation energy (no corrections) (eV/atom) = -0.01

=====

12.
Below is a relaxed LiTi2Pd2 crystal, with properties calculated at the GGA-PBEsol level.

The structure in extended XYZ format:
```
10
Lattice="-2.3547 -1.4080 -0.6475 3.0159 -1.9902 -6.6395 2.8591 -6.2389 3.1688" Properties=species:S:1:pos:R:3 pbc="T T T"
Li 0.0000 0.0000 0.0000
Li 2.9375 -4.1145 -1.7353
Pd 3.5637 -6.1087 0.3236
Pd 4.4240 -5.6906 -3.7139
Pd 2.3113 -2.1204 -3.7943
Pd 1.4510 -2.5385 0.2432
Ti 1.1888 -5.1354 0.7073
Ti 3.2146 -7.2606 -2.0385
Ti 2.3314 -4.5016 -4.8255
Ti 0.3056 -2.3765 -2.0797
```

Output
- D(E_F) (states/eV/atom) = 0.910
- size of the total moment (μB/cell) = 0.01
- E_tot (eV per atom) = -6.48
- symmetry = P4/mbm (127)